A plane-wave DFT calculation with PBE was carried out for a relaxed RbBeAgCl4 crystal.

Structure (CIF):
```
data_RbBeAgCl4
_symmetry_space_group_name_H-M 'P 1 21/m 1'
_symmetry_Int_Tables_number 11
_cell_length_a 6.2923
_cell_length_b 7.1373
_cell_length_c 8.7397
_cell_angle_alpha 90.00
_cell_angle_beta 107.34
_cell_angle_gamma 90.00
loop_
_symmetry_equiv_pos_as_xyz
'x,y,z'
'-x,-y,-z'
'-x,y+1/2,-z'
'x,-y+1/2,z'
loop_
_atom_site_label
_atom_site_type_symbol
_atom_site_fract_x
_atom_site_fract_y
_atom_site_fract_z
_atom_site_occupancy
Rb1 Rb 0.2196 0.2500 0.4183 1
Be1 Be 0.2990 0.7500 0.1941 1
Ag1 Ag 0.3172 0.2500 0.9746 1
Cl1 Cl 0.0681 0.7500 0.9781 1
Cl2 Cl 0.1716 0.7500 0.3804 1
Cl3 Cl 0.4904 0.0223 0.7856 1
```



A plane-wave DFT calculation with PBE was carried out for a relaxed RbBe2AgCl6 crystal.

Structure (CIF):
```
data_RbBe2AgCl6
_symmetry_space_group_name_H-M 'C 1 2/c 1'
_symmetry_Int_Tables_number 15
_cell_length_a 9.6338
_cell_length_b 16.0327
_cell_length_c 8.5785
_cell_angle_alpha 90.00
_cell_angle_beta 109.38
_cell_angle_gamma 90.00
loop_
_symmetry_equiv_pos_as_xyz
'x,y,z'
'-x,-y,-z'
'-x,y,-z+1/2'
'x,-y,z+1/2'
'x+1/2,y+1/2,z'
'-x+1/2,-y+1/2,-z'
'-x+1/2,y+1/2,-z+1/2'
'x+1/2,-y+1/2,z+1/2'
loop_
_atom_site_label
_atom_site_type_symbol
_atom_site_fract_x
_atom_site_fract_y
_atom_site_fract_z
_atom_site_occupancy
Rb1 Rb 0.0000 0.1835 0.2500 1
Be1 Be 0.2157 0.3980 0.2299 1
Ag1 Ag 0.0000 0.4389 0.7500 1
Cl1 Cl 0.0333 0.3771 0.0497 1
Cl2 Cl 0.1711 0.1956 0.6633 1
Cl3 Cl 0.2259 0.0113 0.1981 1
```



A plane-wave DFT calculation with PBE was carried out for a relaxed BeAgS2Cl crystal.

Structure (CIF):
```
data_BeAgS2Cl
_symmetry_space_group_name_H-M 'P 4/m m m'
_symmetry_Int_Tables_number 123
_symmetry_space_group_name_Hall '-P 4 2'
_cell_length_a 4.8525
_cell_length_b 4.8525
_cell_length_c 4.8347
_cell_angle_alpha 90.00
_cell_angle_beta 90.00
_cell_angle_gamma 90.00
loop_
_atom_site_label
_atom_site_type_symbol
_atom_site_fract_x
_atom_site_fract_y
_atom_site_fract_z
_atom_site_occupancy
Be1 Be 0.0000 0.0000 0.0000 1
Ag1 Ag 0.5000 0.5000 0.5000 1
S1 S 0.0000 0.5000 0.5000 1
Cl1 Cl 0.5000 0.5000 0.0000 1
```



A plane-wave DFT calculation with PBE was carried out for a relaxed BeAgS2Cl crystal.

Structure (CIF):
```
data_BeAgS2Cl
_symmetry_space_group_name_H-M 'P 4/m m m'
_symmetry_Int_Tables_number 123
_symmetry_space_group_name_Hall '-P 4 2'
_cell_length_a 4.0180
_cell_length_b 4.0180
_cell_length_c 6.8810
_cell_angle_alpha 90.00
_cell_angle_beta 90.00
_cell_angle_gamma 90.00
loop_
_atom_site_label
_atom_site_type_symbol
_atom_site_fract_x
_atom_site_fract_y
_atom_site_fract_z
_atom_site_occupancy
Be1 Be 0.0000 0.0000 0.0000 1
Ag1 Ag 0.5000 0.5000 0.5000 1
S1 S 0.0000 0.5000 0.0000 1
Cl1 Cl 0.0000 0.0000 0.5000 1
```



Short version: final energy = -48.36 -141.96 -11.97 -16.49 eV per cell, in the order given.
Short version: ΔE_f (raw) = -1.32 -1.31 0.94 0.04 eV per atom, in the order given.